1.
This record from Alexandria via LeMat-Bulk describes an optimized crystal structure of IrBrCl2. The functional is PBE.

Cell: 3.4923 3.4923 10.7819 Å, 90.00 90.00 129.34°
Closest atoms and distances in Å follow each position.
Fractional positions:
1 Cl 0.0000 0.0000 0.0836  2 Ir 2.33
2 Cl 0.0000 0.0000 0.4164  2 Ir 2.33
3 Br 0.5000 0.5000 0.7500  2 Br 2.99
4 Ir 0.5000 0.5000 0.2500  4 Cl 2.33

Output
Space group   Cmmm, No. 65
Energy relative to the elements, uncorrected   0.20 eV/atom
Total energy   -3.35 eV per atom
E above lowest polymorph   0.608 eV/atom



2.
This record from Alexandria via LeMat-Bulk describes an optimized crystal structure of AcTl4In15. The functional is PBE.

Cell: 5.0895 5.0895 21.9995 Å, 90.00 90.00 90.00°
Closest atoms and distances in Å follow each position.
Fractional positions:
1 In 0.5000 0.5000 0.2060  8 In 3.34, 4 Tl 3.60
2 Ac 0.0000 0.0000 0.0000  12 In 3.48-3.60
3 In 0.5000 0.5000 0.5948  8 In 3.29-3.38, 4 Tl 3.60
4 In 0.0000 0.5000 0.3040  8 In 3.34-3.60, 4 Tl 3.35-3.40
5 In 0.5000 0.0000 0.6960  8 In 3.34-3.60, 4 Tl 3.35-3.40
6 In 0.5000 0.0000 0.1077  2 Tl 3.28, 8 In 3.34-3.60, 2 Ac 3.48
7 In 0.5000 0.5000 0.0000  8 In 3.48, 4 Ac 3.60
8 Tl 0.0000 0.0000 0.4031  12 In 3.32-3.60
9 In 0.0000 0.5000 0.1077  2 Tl 3.28, 8 In 3.34-3.60, 2 Ac 3.48
10 Tl 0.0000 0.0000 0.5969  12 In 3.32-3.60
11 In 0.0000 0.5000 0.5000  8 In 3.29-3.60, 4 Tl 3.32
12 Tl 0.0000 0.0000 0.2017  12 In 3.28-3.60
13 In 0.5000 0.0000 0.8923  2 Tl 3.28, 8 In 3.34-3.60, 2 Ac 3.48
14 In 0.0000 0.5000 0.6960  8 In 3.34-3.60, 4 Tl 3.35-3.40
15 In 0.5000 0.0000 0.3040  8 In 3.34-3.60, 4 Tl 3.35-3.40
16 In 0.5000 0.5000 0.7940  8 In 3.34, 4 Tl 3.60
17 In 0.0000 0.5000 0.8923  2 Tl 3.28, 8 In 3.34-3.60, 2 Ac 3.48
18 In 0.5000 0.5000 0.4052  8 In 3.29-3.38, 4 Tl 3.60
19 In 0.5000 0.0000 0.5000  8 In 3.29-3.60, 4 Tl 3.32
20 Tl 0.0000 0.0000 0.7983  12 In 3.28-3.60

Output
Space group   P4/mmm, No. 123
Energy of formation   -0.035 eV/atom
Total energy   -2.77 eV per atom



3.
This record from Alexandria via LeMat-Bulk describes an optimized crystal structure of RbSiSn2S4. The functional is PBE.

Cell: 7.5595 7.5595 6.4559 Å, 124.63 124.63 91.68°
Closest atoms and distances in Å follow each position.
Fractional positions:
1 S 0.4737 0.8155 0.2891  1 Si 2.16
2 Si 0.4965 0.4965 0.9930  4 S 2.15-2.16
3 Rb 0.9948 0.9948 0.9896  4 S 3.18-3.21
4 S 0.1713 0.1713 0.6878  1 Si 2.15
5 Sn 0.2660 0.7660 0.5321  4 S 2.89-2.91
6 S 0.5165 0.5165 0.6878  1 Si 2.15
7 S 0.8155 0.4737 0.2891  1 Si 2.16
8 Sn 0.7660 0.2660 0.5321  4 S 2.89-2.91

Output
Space group   Fmm2, No. 42
Energy relative to the elements, uncorrected   -0.59 eV/atom
Total energy   -4.46 eV per atom



4.
This record from Alexandria via LeMat-Bulk describes an optimized crystal structure of SrLi2Co2. The functional is PBE.

Cell: 4.2494 4.2494 6.2626 Å, 70.17 70.17 90.00°
Closest atoms and distances in Å follow each position.
Fractional positions:
1 Sr 0.0000 0.0000 0.0000  8 Co 3.19, 8 Li 3.47
2 Co 0.5971 0.5971 0.8059  1 Co 2.13
3 Co 0.4029 0.4029 0.1941  1 Co 2.13
4 Li 0.2500 0.7500 0.5000  4 Co 2.71, 4 Li 3.00
5 Li 0.7500 0.2500 0.5000  4 Co 2.71, 4 Li 3.00

Output
Space group   I4/mmm, No. 139
Energy of formation   0.384 eV/atom
Total energy   -3.56 eV per atom
E above lowest polymorph   0.000 eV/atom



5.
This record from Alexandria via LeMat-Bulk describes an optimized crystal structure of KLaRe2. The functional is PBE.

Cell: 7.1198 7.1198 7.1198 Å, 149.24 137.80 53.12°
Closest atoms and distances in Å follow each position.
Fractional positions:
1 Re 0.9062 0.9062 0.0000  2 Re 2.35
2 La 0.2641 0.7641 0.5000  6 Re 3.14-3.21
3 Re 0.7958 0.2958 0.5000  2 Re 2.35
4 K 0.5340 0.5340 0.0000  8 Re 3.58-3.97, 2 K 3.78, 4 La 3.89-3.92

Output
Space group   Imm2, No. 44
Energy of formation   0.792 eV/atom
Total energy   -6.94 eV per atom
E above lowest polymorph   0.287 eV/atom



6.
This record from Alexandria via LeMat-Bulk describes an optimized crystal structure of TlTeSeI2. The functional is PBE.

Cell: 5.8993 6.8781 5.8993 Å, 90.00 90.00 90.00°
Closest atoms and distances in Å follow each position.
Fractional positions:
1 I 0.0000 0.0000 0.5000  2 Te 2.95
2 Tl 0.0000 0.5000 0.0000  2 Te 3.44
3 I 0.5000 0.0000 0.0000  2 Te 2.95
4 Te 0.0000 0.0000 0.0000  4 I 2.95
5 Se 0.5000 0.5000 0.5000  4 Tl 4.17, 8 I 4.53

Output
Space group   P4/mmm, No. 123
Energy relative to the elements, uncorrected   0.27 eV/atom
Total energy   -2.14 eV per atom
E above lowest polymorph   0.264 eV/atom



7.
This record from Alexandria via LeMat-Bulk describes an optimized crystal structure of InSb3Te6. The functional is PBE.

Cell: 4.3197 14.6181 13.1110 Å, 118.49 90.00 90.00°
Closest atoms and distances in Å follow each position.
Fractional positions:
1 Te 0.7500 0.0680 0.4044  3 In 2.88-3.08
2 Sb 0.7500 0.4295 0.8391  6 Te 2.94-3.25
3 Sb 0.7500 0.7398 0.4954  3 Te 2.91-2.97
4 Te 0.2500 0.2426 0.7688  2 In 2.95, 2 Sb 3.25
5 Sb 0.7500 0.1437 0.0998  5 Te 2.84-3.14
6 Sb 0.2500 0.5705 0.1609  6 Te 2.94-3.25
7 Te 0.7500 0.4155 0.0758  3 Sb 2.94-3.21
8 Te 0.2500 0.2623 0.2835  3 Sb 2.91-3.08
9 Te 0.2500 0.0510 0.9017  3 Sb 2.84-3.14
10 Te 0.7500 0.9490 0.0983  3 Sb 2.84-3.14
11 Te 0.7500 0.7377 0.7165  3 Sb 2.91-3.08
12 Sb 0.2500 0.8563 0.9002  5 Te 2.84-3.14
13 Te 0.2500 0.5845 0.9242  3 Sb 2.94-3.21
14 Te 0.2500 0.5814 0.4017  3 Sb 2.97-3.09
15 Te 0.2500 0.9320 0.5956  3 In 2.88-3.08
16 Te 0.7500 0.7574 0.2312  2 In 2.95, 2 Sb 3.25
17 In 0.2500 0.9038 0.3627  5 Te 2.88-3.08
18 Te 0.7500 0.4186 0.5983  3 Sb 2.97-3.09
19 Sb 0.2500 0.2602 0.5046  3 Te 2.91-2.97
20 In 0.7500 0.0962 0.6373  5 Te 2.88-3.08

Output
Space group   P2_1/m, No. 11
Energy relative to the elements, uncorrected   -0.10 eV/atom
Total energy   -3.50 eV per atom



8.
This record from Alexandria via LeMat-Bulk describes an optimized crystal structure of Sr2CdSnPd6. The functional is PBE.

Cell: 7.1240 7.1240 7.1240 Å, 60.00 60.00 90.00°
Closest atoms and distances in Å follow each position.
Fractional positions:
1 Pd 0.7524 0.7524 0.0000  1 Sn 2.49, 1 Cd 2.54
2 Pd 0.2476 0.2476 0.0000  1 Sn 2.49, 1 Cd 2.54
3 Sn 0.0000 0.0000 0.0000  6 Pd 2.49
4 Pd 0.7524 0.7524 0.4952  1 Sn 2.49, 1 Cd 2.54
5 Pd 0.2476 0.2476 0.5048  1 Sn 2.49, 1 Cd 2.54
6 Sr 0.7500 0.2500 0.5000  12 Pd 3.56
7 Pd 0.2476 0.7524 0.0000  1 Sn 2.49, 1 Cd 2.54
8 Cd 0.5000 0.5000 0.0000  6 Pd 2.54
9 Sr 0.2500 0.7500 0.5000  12 Pd 3.56
10 Pd 0.7524 0.2476 0.0000  1 Sn 2.49, 1 Cd 2.54

Output
Space group   Fm-3m, No. 225
Energy of formation   -0.133 eV/atom
Total energy   -4.08 eV per atom



9.
This record from Alexandria via LeMat-Bulk describes an optimized crystal structure of Mg2MnB2Ru5. The functional is PBE.

Cell: 2.9315 9.3795 9.3795 Å, 90.00 90.00 90.00°
Closest atoms and distances in Å follow each position.
Fractional positions:
1 Ru 0.5000 0.2864 0.5690  2 B 2.17
2 Ru 0.5000 0.5690 0.7136  2 B 2.17
3 Ru 0.5000 0.9310 0.2136  2 B 2.17
4 B 0.0000 0.3754 0.1246  6 Ru 2.17-2.21
5 Ru 0.5000 0.0000 0.5000  4 B 2.21
6 Ru 0.5000 0.2136 0.0690  2 B 2.17
7 B 0.0000 0.8754 0.3754  6 Ru 2.17-2.21
8 Mg 0.0000 0.8230 0.6770  3 B 2.63-2.87, 10 Ru 2.77-2.92, 2 Mg 2.93
9 Ru 0.5000 0.7136 0.4310  2 B 2.17
10 Ru 0.5000 0.7864 0.9310  2 B 2.17
11 Ru 0.5000 0.5000 0.0000  4 B 2.21
12 Ru 0.5000 0.0690 0.7864  2 B 2.17
13 Mg 0.0000 0.1770 0.3230  3 B 2.63-2.87, 10 Ru 2.77-2.92, 2 Mg 2.93
14 B 0.0000 0.1246 0.6246  6 Ru 2.17-2.21
15 Mn 0.0000 0.0000 0.0000  8 Ru 2.57
16 B 0.0000 0.6246 0.8754  6 Ru 2.17-2.21
17 Ru 0.5000 0.4310 0.2864  2 B 2.17
18 Mg 0.0000 0.6770 0.1770  3 B 2.63-2.87, 10 Ru 2.77-2.92, 2 Mg 2.93
19 Mn 0.0000 0.5000 0.5000  8 Ru 2.57
20 Mg 0.0000 0.3230 0.8230  3 B 2.63-2.87, 10 Ru 2.77-2.92, 2 Mg 2.93

Output
Space group   P4/mbm, No. 127
Energy of formation   -0.138 eV/atom
Total energy   -7.35 eV per atom



10.
This record from Alexandria via LeMat-Bulk describes an optimized crystal structure of SrHfCd. The functional is PBE.

Cell: 8.5276 5.4718 7.6498 Å, 135.68 48.06 108.76°
Closest atoms and distances in Å follow each position.
Fractional positions:
1 Sr 0.1654 0.1517 0.6626  4 Cd 3.38-3.72, 2 Sr 3.59
2 Hf 0.5990 0.2956 0.7290  2 Hf 2.85, 4 Cd 3.07-3.17
3 Cd 0.5526 0.5126 0.2752  2 Cd 3.06, 4 Hf 3.07-3.17, 1 Sr 3.38
4 Hf 0.7315 0.7292 0.5962  2 Hf 2.85, 4 Cd 3.07-3.17
5 Sr 0.1651 0.0904 0.1629  4 Hf 3.45-3.50, 2 Sr 3.59, 4 Cd 3.61
6 Cd 0.7778 0.9001 0.0500  2 Cd 3.06, 4 Hf 3.07-3.17, 1 Sr 3.38

Output
Space group   Amm2, No. 38
Energy of formation   0.196 eV/atom
Total energy   -3.99 eV per atom
E above lowest polymorph   0.084 eV/atom



11.
This record from Alexandria via LeMat-Bulk describes an optimized crystal structure of NpPdPt. The functional is PBE.

Cell: 2.8737 4.7493 4.7493 Å, 120.00 90.00 90.00°
Closest atoms and distances in Å follow each position.
Fractional positions:
1 Pt 0.4993 0.6667 0.3333  3 Pd 2.74, 2 Pt 2.87
2 Np 0.9999 0.0000 0.0000  2 Np 2.87, 6 Pd 3.09-3.10, 6 Pt 3.09-3.10
3 Pd 0.5008 0.3333 0.6667  3 Pt 2.74, 2 Pd 2.87

Output
Space group   P-6m2, No. 187
Energy of formation   -0.384 eV/atom
Total energy   -8.44 eV per atom
E above lowest polymorph   0.038 eV/atom



12.
This record from Alexandria via LeMat-Bulk describes an optimized crystal structure of LiTlSe. The functional is PBE.

Cell: 4.2191 4.2188 8.4168 Å, 89.85 89.82 90.00°
Closest atoms and distances in Å follow each position.
Fractional positions:
1 Tl 0.9829 0.9933 0.5376  4 Se 3.27-3.28, 4 Li 3.56-3.57
2 Li 0.4799 0.9935 0.8788  4 Se 2.60
3 Se 0.9790 0.9922 0.0589  4 Li 2.60
4 Se 0.4812 0.4941 0.6988  4 Li 2.60
5 Li 0.9798 0.4934 0.8788  4 Se 2.60
6 Tl 0.4804 0.4908 0.2200  4 Se 3.27-3.29, 4 Li 3.56-3.57

Output
Space group   C2, No. 5
Energy relative to the elements, uncorrected   -0.79 eV/atom
Total energy   -3.38 eV per atom
E above lowest polymorph   0.000 eV/atom



13.
This record from Alexandria via LeMat-Bulk describes an optimized crystal structure of Tl2SiSb. The functional is PBE.

Cell: 3.9788 3.9788 8.7558 Å, 78.23 78.23 59.32°
Closest atoms and distances in Å follow each position.
Fractional positions:
1 Tl 0.7544 0.7544 0.7381  3 Sb 3.36-3.44, 3 Tl 3.40-3.47
2 Sb 0.5230 0.5230 0.4409  3 Si 2.66-2.68
3 Tl 0.9847 0.9847 0.0405  3 Si 3.03-3.09, 1 Tl 3.40
4 Si 0.2379 0.2379 0.2805  3 Sb 2.66-2.68

Output
Space group   Cm, No. 8
Energy relative to the elements, uncorrected   0.15 eV/atom
Total energy   -3.42 eV per atom
E above lowest polymorph   0.000 eV/atom



14.
This record from Alexandria via LeMat-Bulk describes an optimized crystal structure of PmZrCuGe. The functional is PBE.

Cell: 4.8927 4.8927 4.8927 Å, 60.00 60.00 60.00°
Closest atoms and distances in Å follow each position.
Fractional positions:
1 Pm 0.2500 0.2500 0.2500  4 Ge 3.00, 4 Cu 3.00
2 Zr 0.7500 0.7500 0.7500  4 Ge 3.00, 4 Cu 3.00
3 Cu 0.0000 0.0000 0.0000  4 Zr 3.00, 4 Pm 3.00
4 Ge 0.5000 0.5000 0.5000  4 Zr 3.00, 4 Pm 3.00

Output
Space group   F-43m, No. 216
Energy of formation   -0.338 eV/atom
Total energy   -5.84 eV per atom



15.
This record from Alexandria via LeMat-Bulk describes an optimized crystal structure of FeNi2Ir. The functional is PBE.

Cell: 3.6944 2.5800 5.7379 Å, 63.54 90.00 90.00°
Closest atoms and distances in Å follow each position.
Fractional positions:
1 Ni 0.0000 0.9982 0.0027  4 Ni 2.54-2.60, 4 Fe 2.58-2.59, 4 Ir 2.60
2 Ir 0.5000 0.7500 0.7500  2 Fe 2.57, 2 Ir 2.58, 8 Ni 2.60
3 Ni 0.0000 0.5018 0.4973  4 Ni 2.54-2.60, 4 Fe 2.58-2.59, 4 Ir 2.60
4 Fe 0.5000 0.2500 0.2500  2 Ir 2.57, 2 Fe 2.58, 8 Ni 2.58-2.59

Output
Space group   P2/m, No. 10
Energy of formation   0.001 eV/atom
Total energy   -7.22 eV per atom



16.
This record from Alexandria via LeMat-Bulk describes an optimized crystal structure of PuZnCdSn. The functional is PBE.

Cell: 5.0911 5.0911 5.0911 Å, 60.00 60.00 60.00°
Closest atoms and distances in Å follow each position.
Fractional positions:
1 Zn 0.5000 0.5000 0.5000  4 Cd 3.12, 4 Pu 3.12
2 Cd 0.7500 0.7500 0.7500  4 Sn 3.12, 4 Zn 3.12
3 Sn 0.0000 0.0000 0.0000  4 Pu 3.12, 4 Cd 3.12
4 Pu 0.2500 0.2500 0.2500  4 Zn 3.12, 4 Sn 3.12

Output
Space group   F-43m, No. 216
Energy of formation   -0.107 eV/atom
Total energy   -5.24 eV per atom



17.
This record from Alexandria via LeMat-Bulk describes an optimized crystal structure of CaHgIrN2. The functional is PBE.

Cell: 4.3237 6.1213 4.3237 Å, 90.00 90.00 90.00°
Closest atoms and distances in Å follow each position.
Fractional positions:
1 Ca 0.0000 0.0000 0.0000  4 N 2.16
2 Ir 0.5000 0.5000 0.5000  4 Hg 3.06
3 N 0.5000 0.0000 0.0000  2 Ca 2.16
4 Hg 0.0000 0.5000 0.0000  4 Ir 3.06, 2 Ca 3.06
5 N 0.0000 0.0000 0.5000  2 Ca 2.16

Output
Space group   P4/mmm, No. 123
Energy relative to the elements, uncorrected   2.09 eV/atom
Total energy   -3.48 eV per atom



18.
This record from Alexandria via LeMat-Bulk describes an optimized crystal structure of SrZn2Au2. The functional is PBE.

Cell: 7.8574 7.8574 3.2771 Å, 90.00 90.00 90.00°
Closest atoms and distances in Å follow each position.
Fractional positions:
1 Zn 0.8847 0.6153 0.0000  1 Zn 2.56, 2 Au 2.79
2 Sr 0.5000 0.5000 0.0000  4 Zn 3.16, 2 Sr 3.28, 8 Au 3.31
3 Au 0.6818 0.8182 0.5000  6 Zn 2.79-2.90
4 Zn 0.6153 0.1153 0.0000  1 Zn 2.56, 2 Au 2.79
5 Au 0.8182 0.3182 0.5000  6 Zn 2.79-2.90
6 Sr 0.0000 0.0000 0.0000  4 Zn 3.16, 2 Sr 3.28, 8 Au 3.31
7 Au 0.1818 0.6818 0.5000  6 Zn 2.79-2.90
8 Zn 0.1153 0.3847 0.0000  1 Zn 2.56, 2 Au 2.79
9 Zn 0.3847 0.8847 0.0000  1 Zn 2.56, 2 Au 2.79
10 Au 0.3182 0.1818 0.5000  6 Zn 2.79-2.90

Output
Space group   P4/mbm, No. 127
Energy of formation   -0.310 eV/atom
Total energy   -2.47 eV per atom
E above lowest polymorph   0.206 eV/atom



19.
This record from Alexandria via LeMat-Bulk describes an optimized crystal structure of SrAlIr. The functional is PBE.

Cell: 4.6817 4.6817 4.6817 Å, 60.00 60.00 60.00°
Closest atoms and distances in Å follow each position.
Fractional positions:
1 Sr 0.0000 0.0000 0.0000  4 Ir 2.87
2 Al 0.5000 0.5000 0.5000  4 Ir 2.87
3 Ir 0.7500 0.7500 0.7500  4 Al 2.87, 4 Sr 2.87

Output
Space group   F-43m, No. 216
Energy of formation   -0.077 eV/atom
Total energy   -4.84 eV per atom



20.
This record from Alexandria via LeMat-Bulk describes an optimized crystal structure of AcPmSm3Tm. The functional is PBE.

Cell: 5.1957 8.2211 10.9785 Å, 116.51 90.00 90.00°
Closest atoms and distances in Å follow each position.
Fractional positions:
1 Sm 0.7500 0.3737 0.5465  1 Pm 3.59, 3 Tm 3.63-3.69, 5 Sm 3.64-3.74, 3 Ac 3.68-3.69
2 Tm 0.2500 0.1283 0.6262  5 Sm 3.61-3.69, 3 Ac 3.64-3.67, 2 Pm 3.66, 2 Tm 3.70
3 Sm 0.2500 0.6263 0.4535  1 Pm 3.59, 3 Tm 3.63-3.69, 5 Sm 3.64-3.74, 3 Ac 3.68-3.69
4 Sm 0.2500 0.1310 0.9598  3 Pm 3.61-3.67, 1 Tm 3.65, 5 Sm 3.66-3.76, 3 Ac 3.69-3.70
5 Pm 0.7500 0.3788 0.8750  7 Sm 3.59-3.67, 2 Pm 3.66, 2 Tm 3.66, 1 Ac 3.70
6 Tm 0.7500 0.8717 0.3738  5 Sm 3.61-3.69, 3 Ac 3.64-3.67, 2 Pm 3.66, 2 Tm 3.70
7 Ac 0.2500 0.1246 0.2935  3 Tm 3.64-3.67, 8 Sm 3.68-3.72, 1 Pm 3.70
8 Sm 0.7500 0.3805 0.2079  1 Tm 3.61, 3 Pm 3.62-3.65, 6 Sm 3.64-3.76, 2 Ac 3.72
9 Sm 0.2500 0.6195 0.7921  1 Tm 3.61, 3 Pm 3.62-3.65, 6 Sm 3.64-3.76, 2 Ac 3.72
10 Ac 0.7500 0.8754 0.7065  3 Tm 3.64-3.67, 8 Sm 3.68-3.72, 1 Pm 3.70
11 Sm 0.7500 0.8690 0.0402  3 Pm 3.61-3.67, 1 Tm 3.65, 5 Sm 3.66-3.76, 3 Ac 3.69-3.70
12 Pm 0.2500 0.6212 0.1250  7 Sm 3.59-3.67, 2 Pm 3.66, 2 Tm 3.66, 1 Ac 3.70

Output
Space group   P2_1/m, No. 11
Energy of formation   0.042 eV/atom
Total energy   -4.54 eV per atom